ZrAgRhAu | PBE | optimized geometry

a b c (Å): 4.658 4.658 4.658
angles (deg): 60.00 60.00 60.00
Fractional positions:
Rh  0.000  0.000  0.000
Au  0.500  0.500  0.500
Zr  0.250  0.250  0.250
Ag  0.750  0.750  0.750

Summary:
Energy relative to the elements: -1.37 eV/f.u.
Total energy: -5.849 eV/atom
Magnetization: 0.00 μB per cell